Here is a PBEsol-optimized structure of BaSr3H from Alexandria. Energies are from SCAN.

```
5
Lattice="5.845 0.000 0.000 0.000 5.845 0.000 0.000 0.000 5.845" Properties=species:S:1:pos:R:3 pbc="T T T"
Sr 0.000 2.922 0.000
Sr 0.000 0.000 2.922
Sr 2.922 0.000 0.000
Ba 2.922 2.922 2.922
H 0.000 0.000 0.000
```

Results
Its calculated total energy is -22.03 eV/atom. The theoretical density comes out at 3.34 g cm⁻³. The size of the total moment is 0.1 μB/f.u.



Here is a PBEsol-optimized structure of B2PdS from Alexandria. Energies are from SCAN.

```
8
Lattice="4.877 0.000 0.000 -2.439 4.664 0.017 0.000 2.535 4.166" Properties=species:S:1:pos:R:3 pbc="T T T"
S 0.000 2.966 1.050
S 2.439 1.268 2.083
B 1.053 4.448 1.575
B -1.053 5.716 3.658
B 3.658 2.664 2.466
B 1.219 1.569 0.667
Pd 2.439 4.233 3.133
Pd 0.000 0.000 0.000
```

Results
Its calculated total energy is -14.08 eV/atom. The theoretical density comes out at 5.62 g cm⁻³. Its uncorrected formation energy is 0.236 eV per atom. The size of the total moment is 0.0 μB/f.u.



Here is a PBEsol-optimized structure of Ba3GaSb3 from Alexandria. Energies are from SCAN.

```
56
Lattice="-0.920 5.379 -4.569 2.164 -8.773 -10.764 -20.620 -4.165 -0.751" Properties=species:S:1:pos:R:3 pbc="T T T"
Ba -14.093 -7.328 -14.920
Ba -4.336 -3.826 -7.219
Ba -15.039 -3.734 -8.865
Ba -5.283 -0.231 -1.164
Ba -15.076 -4.371 -4.332
Ba -5.291 0.665 -5.917
Ba -14.085 -8.224 -10.167
Ba -4.300 -3.188 -11.752
Ba -0.170 -5.744 -8.899
Ba -18.024 -6.785 -12.072
Ba -8.487 -2.216 -4.272
Ba -12.071 -0.374 -6.925
Ba -19.206 -1.816 -7.185
Ba -1.352 -0.775 -4.012
Ba -10.889 -5.343 -11.812
Ba -7.305 -7.185 -9.159
Ba -2.275 3.744 -3.671
Ba -18.220 -6.701 -7.213
Ba -8.294 -2.300 -9.130
Ba -9.963 -9.861 -12.153
Ba -17.101 -11.303 -12.413
Ba -1.156 -0.858 -8.870
Ba -11.081 -5.259 -6.953
Ba -9.413 2.302 -3.931
Ga -17.453 -1.824 -4.344
Ga -2.572 -3.875 -4.212
Ga -5.499 -6.458 -11.870
Ga -13.877 -1.102 -4.214
Ga -6.149 -4.597 -4.342
Ga -16.803 -3.685 -11.872
Ga -1.922 -5.735 -11.740
Ga -13.227 -2.962 -11.741
Sb -2.022 1.673 -6.499
Sb -6.577 -8.937 -12.173
Sb -19.427 0.039 -4.152
Sb -0.997 -3.411 -6.381
Sb -7.625 -4.749 -6.622
Sb -12.798 1.377 -3.911
Sb 0.051 -7.598 -11.932
Sb -11.750 -2.810 -9.462
Sb -15.719 -1.570 -2.216
Sb -4.866 -0.863 -9.114
Sb -14.510 -6.696 -6.970
Sb -3.657 -5.990 -13.867
Sb -15.615 -1.346 -6.315
Sb -4.770 -2.254 -4.024
Sb -14.605 -5.306 -12.060
Sb -3.761 -6.213 -9.769
Sb -18.529 -4.302 -4.665
Sb -7.471 -4.596 -11.660
Sb -10.730 -7.895 -9.344
Sb -17.354 -9.232 -9.585
Sb -8.646 0.335 -6.740
Sb -11.905 -2.964 -4.424
Sb -18.379 -4.149 -9.703
Sb -0.847 -3.258 -11.418
```

Results
Its calculated total energy is -36.27 eV/atom. The theoretical density comes out at 5.34 g cm⁻³. Its uncorrected formation energy is -1.016 eV per atom. The size of the total moment is 0.0 μB/f.u.



Here is a PBEsol-optimized structure of TaMnO4 from Alexandria. Energies are from SCAN.

```
12
Lattice="4.605 0.065 0.000 -0.123 4.974 0.000 0.000 0.000 5.618" Properties=species:S:1:pos:R:3 pbc="T T T"
Mn 2.210 3.763 1.926
Mn 2.272 1.276 3.692
O 3.491 2.933 0.645
O 3.277 2.905 3.475
O 0.929 4.593 0.645
O 1.205 2.135 2.143
O 1.143 4.622 3.475
O 3.553 0.446 4.973
O 3.339 0.417 2.143
O 0.991 2.106 4.973
Ta -0.092 3.731 4.654
Ta -0.031 1.244 0.964
```

Results
Its calculated total energy is -20.96 eV/atom. The theoretical density comes out at 7.74 g cm⁻³. Its uncorrected formation energy is -2.671 eV per atom. The size of the total moment is 4.0 μB/f.u.



Here is a PBEsol-optimized structure of Be3As2H4O10 from Alexandria. Energies are from SCAN.

```
38
Lattice="-3.506 -0.564 3.002 -3.351 -1.228 -7.746 2.486 -9.546 1.111" Properties=species:S:1:pos:R:3 pbc="T T T"
As -0.918 -9.329 0.443
As -1.885 -6.731 -3.799
As -3.453 -2.010 -4.076
As -2.487 -4.608 0.167
Be 0.776 -7.335 1.765
Be -1.796 -2.775 2.348
Be -4.048 -2.593 -1.249
Be -1.921 -4.030 -2.635
Be -0.323 -8.746 -2.384
Be -2.451 -7.309 -0.997
H -2.104 -7.331 2.660
H -3.840 -9.233 -3.326
H -2.267 -4.007 -6.292
H -0.532 -2.106 -0.306
H -0.106 -6.196 0.015
H -0.783 -9.556 -5.009
H -4.265 -5.143 -3.647
H -3.588 -1.783 1.377
O 0.807 -6.449 0.374
O -1.055 -9.199 -5.918
O -5.179 -4.889 -4.007
O -3.317 -2.140 2.286
O -3.574 -1.416 -0.220
O -2.642 -5.247 -3.453
O -0.798 -9.923 -3.412
O -1.729 -6.092 -0.180
O -0.401 -8.440 1.780
O -2.953 -7.708 -4.664
O -3.970 -2.899 -5.413
O -1.418 -3.630 1.032
O -2.462 -8.659 -0.051
O -1.493 -7.586 -2.318
O -1.909 -2.679 -3.582
O -2.878 -3.753 -1.314
O 0.081 -9.205 -0.914
O -3.910 -7.019 -1.563
O -4.452 -2.133 -2.718
O -0.461 -4.319 -2.070
```

Results
Its calculated total energy is -8.61 eV/atom. The theoretical density comes out at 2.99 g cm⁻³. The size of the total moment is 0.0 μB/f.u.



Here is a PBEsol-optimized structure of KTl2Cd from Alexandria. Energies are from SCAN.

```
4
Lattice="-0.265 0.270 4.441 -5.240 -0.928 -0.257 3.594 -4.520 -1.747" Properties=species:S:1:pos:R:3 pbc="T T T"
Tl 0.026 -0.149 0.011
Tl 0.302 -2.367 2.399
K -2.206 -2.848 0.042
Cd 0.809 -4.661 0.332
```

Results
As for the energy of formation from the pure elements: -0.043 eV per atom. Its calculated total energy is -45.91 eV/atom. The theoretical density comes out at 7.94 g cm⁻³. The size of the total moment is 0.0 μB/f.u.



Here is a PBEsol-optimized structure of TiGe2SeS from Alexandria. Energies are from SCAN.

```
5
Lattice="4.630 0.000 0.000 0.000 4.948 0.000 0.000 0.000 4.948" Properties=species:S:1:pos:R:3 pbc="T T T"
Ge 0.000 0.000 2.474
Ge 0.000 2.474 0.000
S 2.315 0.000 0.000
Se 0.000 0.000 0.000
Ti 2.315 2.474 2.474
```

Results
Its calculated total energy is -15.95 eV/atom. The theoretical density comes out at 4.46 g cm⁻³. Its uncorrected formation energy is 0.831 eV per atom. The size of the total moment is 2.1 μB/f.u.



Here is a PBEsol-optimized structure of ScIn2P from Alexandria. Energies are from SCAN.

```
4
Lattice="3.651 0.000 0.000 0.000 4.789 0.000 -1.826 -2.394 4.700" Properties=species:S:1:pos:R:3 pbc="T T T"
In 0.000 0.000 0.081
In 0.000 2.394 2.128
P 0.000 0.000 4.536
Sc 1.826 0.000 2.655
```

Results
As for the energy of formation from the pure elements: -0.327 eV per atom. Its calculated total energy is -23.18 eV/atom. The theoretical density comes out at 6.17 g cm⁻³. The size of the total moment is 0.0 μB/f.u.



Here is a PBEsol-optimized structure of BaNiSb2 from Alexandria. Energies are from SCAN.

```
4
Lattice="4.396 0.000 0.000 0.000 4.396 0.000 -2.198 -2.198 5.451" Properties=species:S:1:pos:R:3 pbc="T T T"
Ba 2.198 2.198 0.000
Ni 0.000 0.000 0.000
Sb 2.198 0.000 2.726
Sb 0.000 2.198 2.726
```

Results
Its calculated total energy is -32.41 eV/atom. The theoretical density comes out at 6.93 g cm⁻³. Its uncorrected formation energy is 0.154 eV per atom. The size of the total moment is 0.9 μB/f.u.



Here is a PBEsol-optimized structure of Li6Mn3CoP6O24 from Alexandria. Energies are from SCAN.

```
40
Lattice="8.181 0.135 0.295 3.993 7.437 0.424 4.203 2.605 7.331" Properties=species:S:1:pos:R:3 pbc="T T T"
P 7.090 2.304 5.615
P 8.025 3.448 0.701
P 5.417 6.790 3.645
P 11.089 3.530 4.346
P 8.335 6.638 7.454
P 9.272 7.878 2.445
Mn 2.468 1.527 1.146
Mn 5.836 3.595 2.945
Mn 10.623 6.585 5.179
Co 13.940 8.623 6.775
O 5.223 1.716 2.899
O 4.340 3.933 3.924
O 10.146 9.792 7.253
O 5.160 4.320 1.222
O 6.866 3.478 4.631
O 8.567 2.456 6.080
O 9.173 2.430 0.516
O 7.418 3.161 2.098
O 6.333 5.605 3.183
O 10.526 3.126 2.976
O 11.207 2.441 5.436
O 7.958 5.124 7.446
O 8.501 4.926 0.742
O 5.244 7.791 2.460
O 6.126 7.392 4.865
O 10.138 4.669 4.870
O 8.881 6.866 5.997
O 2.947 4.992 0.303
O 7.801 7.689 1.942
O 9.498 6.638 3.352
O 11.237 5.797 6.896
O 6.262 0.475 0.854
O 12.172 6.449 4.214
O 10.925 8.405 5.294
Li 8.288 0.421 0.522
Li 6.851 6.041 1.303
Li 7.905 5.191 4.450
Li 9.632 4.058 6.723
Li 9.993 4.997 2.196
Li 8.093 8.285 4.884
```

Results
Its calculated total energy is -9.83 eV/atom. The theoretical density comes out at 3.25 g cm⁻³. Its uncorrected formation energy is -2.376 eV per atom. The size of the total moment is 14.4 μB/f.u.



Here is a PBEsol-optimized structure of BaSr from Alexandria. Energies are from SCAN.

```
4
Lattice="-2.192 -0.622 -3.457 -5.630 -0.563 3.672 -0.114 8.182 1.080" Properties=species:S:1:pos:R:3 pbc="T T T"
Sr -5.475 0.284 0.942
Sr -2.462 6.713 0.353
Ba -6.099 4.343 0.607
Ba -1.837 2.654 0.688
```

Results
The distance to the lowest polymorph of the same formula is 46 meV/atom. As for the energy of formation from the pure elements: 0.054 eV per atom. Its calculated total energy is -30.86 eV/atom. The theoretical density comes out at 3.35 g cm⁻³. The size of the total moment is 0.2 μB/f.u.



Here is a PBEsol-optimized structure of K2SrBe from Alexandria. Energies are from SCAN.

```
4
Lattice="-4.074 1.153 4.295 -0.633 -4.868 -3.528 0.859 -5.511 2.295" Properties=species:S:1:pos:R:3 pbc="T T T"
Sr -1.608 -2.179 3.295
K 0.000 0.000 0.000
K -1.120 -3.523 -0.116
Be -2.728 -5.702 3.179
```

Results
As for the energy of formation from the pure elements: 0.640 eV per atom. Its calculated total energy is -10.18 eV/atom. The theoretical density comes out at 1.86 g cm⁻³. The size of the total moment is 1.4 μB/f.u.